Record 1
First-principles (GGA-PBE) data for crystalline Tm12ReSn6 at its relaxed geometry, as listed in Alexandria via LeMat-Bulk.

Computed properties:
Calculated formation energy ... -0.28 eV per atom
Uncorrected energy ... -5.025 eV/atom
N(E_F) ... 46.3 states/eV per cell

Cell: 13.0189 13.0189 12.0167 Å, 90.00 90.00 120.00°
Space group R-3 (No. 148, hexagonal axes)
Symmetry-distinct sites (fractional):
Tm: 0.0310 0.1945 0.3913
Tm: 0.0619 0.1979 0.8829
Re: 0.0000 0.0000 0.0000
Sn: 0.0451 0.2808 0.6414

Record 2
First-principles (GGA-PBE) data for crystalline V3ReSn at its relaxed geometry, as listed in Alexandria via LeMat-Bulk.

Computed properties:
Calculated formation energy ... 0.96 eV per atom
Distance to the lowest polymorph of the same formula ... 0.000 eV/atom
Uncorrected energy ... -7.800 eV/atom
N(E_F) ... 5.7 states/eV per cell

Cell: 4.6166 4.6166 4.6166 Å, 90.00 90.00 90.00°
Space group Pm-3m (No. 221)
Symmetry-distinct sites (fractional):
V: 0.0000 0.0000 0.5000
Re: 0.0000 0.0000 0.0000
Sn: 0.5000 0.5000 0.5000

Record 3
First-principles (GGA-PBE) data for crystalline VReSn at its relaxed geometry, as listed in Alexandria via LeMat-Bulk.

Computed properties:
Calculated formation energy ... -0.06 eV per atom
Uncorrected energy ... -8.587 eV/atom
N(E_F) ... 2.7 states/eV per cell

Cell: 3.1150 3.1150 21.8671 Å, 90.00 90.00 90.00°
Space group I4/mmm (No. 139)
Symmetry-distinct sites (fractional):
V: 0.0000 0.0000 0.1504
Re: 0.0000 0.0000 0.2881
Sn: 0.0000 0.0000 0.4331

Record 4
First-principles (GGA-PBE) data for crystalline VReSn at its relaxed geometry, as listed in Alexandria via LeMat-Bulk.

Computed properties:
Calculated formation energy ... 0.12 eV per atom
Uncorrected energy ... -8.399 eV/atom
N(E_F) ... 3.4 states/eV per cell

Cell: 3.2217 3.2217 9.3556 Å, 90.00 90.00 90.00°
Space group I4mm (No. 107)
Symmetry-distinct sites (fractional):
V: 0.0000 0.0000 0.0000
Re: 0.0000 0.0000 0.6398
Sn: 0.0000 0.0000 0.3222

Record 5
First-principles (GGA-PBE) data for crystalline V2ReSn at its relaxed geometry, as listed in Alexandria via LeMat-Bulk.

Computed properties:
Calculated formation energy ... 0.58 eV per atom
Uncorrected energy ... -8.090 eV/atom
N(E_F) ... 17.0 states/eV per cell

Cell: 7.2597 7.2597 5.4102 Å, 90.00 90.00 90.00°
Space group I-42d (No. 122)
Symmetry-distinct sites (fractional):
V: 0.1972 0.2500 0.1250
Re: 0.0000 0.0000 0.0000
Sn: 0.0000 0.0000 0.5000

Record 6
First-principles (GGA-PBE) data for crystalline V12ReSn3 at its relaxed geometry, as listed in Alexandria via LeMat-Bulk.

Computed properties:
Calculated formation energy ... -0.11 eV per atom
Uncorrected energy ... -8.478 eV/atom
N(E_F) ... 18.7 states/eV per cell

Cell: 4.9134 4.9210 9.8713 Å, 90.00 90.00 90.00°
Space group Pmmm (No. 47)
Symmetry-distinct sites (fractional):
V: 0.0000 0.0000 0.1164
V: 0.0000 0.0000 0.3706
V: 0.2439 0.5000 0.5000
V: 0.2595 0.5000 0.0000
V: 0.5000 0.2398 0.2394
Re: 0.5000 0.0000 0.0000
Sn: 0.0000 0.5000 0.2491
Sn: 0.5000 0.0000 0.5000

Record 7
First-principles (GGA-PBE) data for crystalline V2ReSn at its relaxed geometry, as listed in Alexandria via LeMat-Bulk.

Computed properties:
Calculated formation energy ... 0.11 eV per atom
Uncorrected energy ... -8.565 eV/atom
N(E_F) ... 2.6 states/eV per cell

Cell: 4.0080 4.0080 3.8683 Å, 90.00 90.00 90.00°
Space group P4/mmm (No. 123)
Symmetry-distinct sites (fractional):
V: 0.0000 0.5000 0.0000
Re: 0.0000 0.0000 0.5000
Sn: 0.5000 0.5000 0.5000

Record 8
First-principles (GGA-PBE) data for crystalline V2ReSn at its relaxed geometry, as listed in Alexandria via LeMat-Bulk.

Computed properties:
Calculated formation energy ... 0.03 eV per atom
Uncorrected energy ... -8.644 eV/atom
N(E_F) ... 3.1 states/eV per cell

Cell: 3.2750 3.2750 5.8394 Å, 90.00 90.00 90.00°
Space group P4/mmm (No. 123)
Symmetry-distinct sites (fractional):
V: 0.0000 0.0000 0.2220
Re: 0.5000 0.5000 0.0000
Sn: 0.5000 0.5000 0.5000

Record 9
First-principles (GGA-PBE) data for crystalline V2ReSn at its relaxed geometry, as listed in Alexandria via LeMat-Bulk.

Computed properties:
Calculated formation energy ... 0.21 eV per atom
Uncorrected energy ... -8.463 eV/atom
N(E_F) ... 17.4 states/eV per cell

Cell: 3.0226 3.0226 25.0263 Å, 90.00 90.00 120.00°
Space group R-3m (No. 166, hexagonal axes)
Symmetry-distinct sites (fractional):
V: 0.0000 0.0000 0.2410
Re: 0.0000 0.0000 0.5000
Sn: 0.0000 0.0000 0.0000

Record 10
First-principles (GGA-PBE) data for crystalline VRe3Sn at its relaxed geometry, as listed in Alexandria via LeMat-Bulk.

Computed properties:
Calculated formation energy ... 1.57 eV per atom
Distance to the lowest polymorph of the same formula ... 0.000 eV/atom
Uncorrected energy ... -8.524 eV/atom
N(E_F) ... 4.5 states/eV per cell

Cell: 4.5500 4.5500 4.5500 Å, 90.00 90.00 90.00°
Space group Pm-3m (No. 221)
Symmetry-distinct sites (fractional):
V: 0.0000 0.0000 0.0000
Re: 0.0000 0.0000 0.5000
Sn: 0.5000 0.5000 0.5000

Record 11
First-principles (GGA-PBE) data for crystalline Re2SnW at its relaxed geometry, as listed in Alexandria via LeMat-Bulk.

Computed properties:
Calculated formation energy ... 1.08 eV per atom
Uncorrected energy ... -9.386 eV/atom
N(E_F) ... 16.4 states/eV per cell

Cell: 7.4865 7.4865 5.4243 Å, 90.00 90.00 90.00°
Space group I-42d (No. 122)
Symmetry-distinct sites (fractional):
Re: 0.2059 0.7500 0.1250
Sn: 0.0000 0.0000 0.5000
W: 0.0000 0.0000 0.0000

Record 12
First-principles (GGA-PBE) data for crystalline ReSnW3 at its relaxed geometry, as listed in Alexandria via LeMat-Bulk.

Computed properties:
Calculated formation energy ... 3.11 eV per atom
Distance to the lowest polymorph of the same formula ... 1.229 eV/atom
Uncorrected energy ... -7.954 eV/atom
N(E_F) ... 6.4 states/eV per cell

Cell: 4.7673 4.7673 4.7673 Å, 90.00 90.00 90.00°
Space group Pm-3m (No. 221)
Symmetry-distinct sites (fractional):
Re: 0.0000 0.0000 0.0000
Sn: 0.5000 0.5000 0.5000
W: 0.0000 0.5000 0.5000

Record 13
First-principles (GGA-PBE) data for crystalline ReSnW3 at its relaxed geometry, as listed in Alexandria via LeMat-Bulk.

Computed properties:
Calculated formation energy ... 1.88 eV per atom
Distance to the lowest polymorph of the same formula ... 0.000 eV/atom
Uncorrected energy ... -9.183 eV/atom
N(E_F) ... 7.5 states/eV per cell

Cell: 4.7946 4.7946 4.7946 Å, 90.00 90.00 90.00°
Space group Pm-3m (No. 221)
Symmetry-distinct sites (fractional):
Re: 0.0000 0.0000 0.0000
Sn: 0.5000 0.5000 0.5000
W: 0.0000 0.0000 0.5000

Record 14
First-principles (GGA-PBE) data for crystalline ReSn3W at its relaxed geometry, as listed in Alexandria via LeMat-Bulk.

Computed properties:
Calculated formation energy ... 1.43 eV per atom
Distance to the lowest polymorph of the same formula ... 0.000 eV/atom
Uncorrected energy ... -6.048 eV/atom
N(E_F) ... 2.8 states/eV per cell

Cell: 5.1702 5.1702 5.1702 Å, 90.00 90.00 90.00°
Space group Pm-3m (No. 221)
Symmetry-distinct sites (fractional):
Re: 0.0000 0.0000 0.0000
Sn: 0.0000 0.0000 0.5000
W: 0.5000 0.5000 0.5000

Record 15
First-principles (GGA-PBE) data for crystalline ReSn2W at its relaxed geometry, as listed in Alexandria via LeMat-Bulk.

Computed properties:
Calculated formation energy ... 0.72 eV per atom
Distance to the lowest polymorph of the same formula ... 0.000 eV/atom
Uncorrected energy ... -7.630 eV/atom
N(E_F) ... 23.6 states/eV per cell

Cell: 6.6036 6.6036 6.6036 Å, 90.00 90.00 90.00°
Space group Fm-3m (No. 225)
Symmetry-distinct sites (fractional):
Re: 0.0000 0.0000 0.0000
Sn: 0.2500 0.2500 0.2500
W: 0.0000 0.0000 0.5000

Record 16
First-principles (GGA-PBE) data for crystalline ReSn2W at its relaxed geometry, as listed in Alexandria via LeMat-Bulk.

Computed properties:
Calculated formation energy ... 1.27 eV per atom
Distance to the lowest polymorph of the same formula ... 0.544 eV/atom
Uncorrected energy ... -7.086 eV/atom
N(E_F) ... 17.2 states/eV per cell

Cell: 7.6590 7.6590 5.5981 Å, 90.00 90.00 90.00°
Space group I-42d (No. 122)
Symmetry-distinct sites (fractional):
Re: 0.0000 0.0000 0.0000
Sn: 0.2389 0.2500 0.1250
W: 0.0000 0.0000 0.5000

Record 17
First-principles (GGA-PBE) data for crystalline Y2ReSnW at its relaxed geometry, as listed in Alexandria via LeMat-Bulk.

Computed properties:
Calculated formation energy ... 1.76 eV per atom
Uncorrected energy ... -6.704 eV/atom
N(E_F) ... 6.1 states/eV per cell

Cell: 5.5070 5.5070 4.8683 Å, 90.00 90.00 90.00°
Space group P4/mmm (No. 123)
Symmetry-distinct sites (fractional):
Y: 0.0000 0.5000 0.0000
Re: 0.0000 0.0000 0.5000
Sn: 0.0000 0.0000 0.0000
W: 0.5000 0.5000 0.5000

Record 18
First-principles (GGA-PBE) data for crystalline Y3ReSn at its relaxed geometry, as listed in Alexandria via LeMat-Bulk.

Computed properties:
Calculated formation energy ... 0.12 eV per atom
Distance to the lowest polymorph of the same formula ... 0.000 eV/atom
Uncorrected energy ... -7.044 eV/atom
N(E_F) ... 1.2 states/eV per cell

Cell: 5.3480 5.3480 5.3480 Å, 90.00 90.00 90.00°
Space group Pm-3m (No. 221)
Symmetry-distinct sites (fractional):
Y: 0.0000 0.0000 0.5000
Re: 0.0000 0.0000 0.0000
Sn: 0.5000 0.5000 0.5000

Record 19
First-principles (GGA-PBE) data for crystalline YReSn2 at its relaxed geometry, as listed in Alexandria via LeMat-Bulk.

Computed properties:
Calculated formation energy ... 0.03 eV per atom
Distance to the lowest polymorph of the same formula ... 0.000 eV/atom
Uncorrected energy ... -6.702 eV/atom
N(E_F) ... 6.0 states/eV per cell

Cell: 6.9447 6.9447 6.9447 Å, 90.00 90.00 90.00°
Space group Fm-3m (No. 225)
Symmetry-distinct sites (fractional):
Y: 0.0000 0.0000 0.0000
Re: 0.0000 0.0000 0.5000
Sn: 0.2500 0.2500 0.2500

Record 20
First-principles (GGA-PBE) data for crystalline YReSn2 at its relaxed geometry, as listed in Alexandria via LeMat-Bulk.

Computed properties:
Calculated formation energy ... 0.40 eV per atom
Distance to the lowest polymorph of the same formula ... 0.373 eV/atom
Uncorrected energy ... -6.329 eV/atom
N(E_F) ... 8.5 states/eV per cell

Cell: 4.2615 4.2615 20.9083 Å, 90.00 90.00 90.00°
Space group I-42d (No. 122)
Symmetry-distinct sites (fractional):
Y: 0.0000 0.0000 0.0000
Re: 0.0000 0.0000 0.5000
Sn: 0.2368 0.2500 0.6250